# 1
VASP calculation (PBE-GGA) on Rb2Pb5Au3 after structural relaxation.

Structure (CIF):
```
data_Rb2Pb5Au3
_cell_length_a 5.055
_cell_length_b 29.800
_cell_length_c 7.992
_cell_angle_alpha 90.00
_cell_angle_beta 90.00
_cell_angle_gamma 90.00
_space_group_name_H-M_alt 'C m c 21'
_space_group_IT_number 36
loop_
_space_group_symop_operation_xyz
'x,y,z'
'-x,-y,z+1/2'
'-x,y,z'
'x,-y,z+1/2'
'x+1/2,y+1/2,z'
'-x+1/2,-y+1/2,z+1/2'
'-x+1/2,y+1/2,z'
'x+1/2,-y+1/2,z+1/2'
loop_
_atom_site_label
_atom_site_fract_x
_atom_site_fract_y
_atom_site_fract_z
_atom_site_occupancy
Rb1 0.000 0.019 0.000 1
Rb2 0.000 0.322 0.038 1
Pb1 0.000 0.101 0.359 1
Pb2 0.000 0.204 0.844 1
Pb3 0.000 0.209 0.248 1
Pb4 0.000 0.376 0.505 1
Pb5 0.000 0.444 0.172 1
Au1 0.000 0.108 0.734 1
Au2 0.000 0.276 0.549 1
Au3 0.000 0.445 0.800 1
```

formation energy: -1.5 eV/f.u.
volume: 1203.8 Å³/cell

=====

# 2
VASP calculation (PBE-GGA) on RbPb2Au2 after structural relaxation.

Structure (CIF):
```
data_RbPb2Au2
_cell_length_a 12.384
_cell_length_b 4.864
_cell_length_c 5.512
_cell_angle_alpha 90.00
_cell_angle_beta 107.83
_cell_angle_gamma 90.00
_space_group_name_H-M_alt 'C 1 2/m 1'
_space_group_IT_number 12
loop_
_space_group_symop_operation_xyz
'x,y,z'
'-x,-y,-z'
'-x,y,-z'
'x,-y,z'
'x+1/2,y+1/2,z'
'-x+1/2,-y+1/2,-z'
'-x+1/2,y+1/2,-z'
'x+1/2,-y+1/2,z'
loop_
_atom_site_label
_atom_site_fract_x
_atom_site_fract_y
_atom_site_fract_z
_atom_site_occupancy
Rb1 0.000 0.000 0.000 1
Pb1 0.155 0.500 0.576 1
Au1 0.246 0.500 0.145 1
```

formation energy: -1.1 eV/f.u.
volume: 316.1 Å³/cell

=====

# 3
VASP calculation (PBE-GGA) on RbPb2Au2 after structural relaxation.

Structure (CIF):
```
data_RbPb2Au2
_cell_length_a 5.332
_cell_length_b 5.332
_cell_length_c 11.236
_cell_angle_alpha 90.00
_cell_angle_beta 90.00
_cell_angle_gamma 90.00
_space_group_name_H-M_alt 'I 4/m m m'
_space_group_IT_number 139
_space_group_name_Hall '-I 4 2'
loop_
_atom_site_label
_atom_site_fract_x
_atom_site_fract_y
_atom_site_fract_z
_atom_site_occupancy
Rb1 0.000 0.000 0.000 1
Pb1 0.000 0.000 0.352 1
Au1 0.000 0.500 0.250 1
```

formation energy: -0.8 eV/f.u.
volume: 319.5 Å³/cell

=====

# 4
VASP calculation (PBE-GGA) on RbPb3Au2 after structural relaxation.

Structure (CIF):
```
data_RbPb3Au2
_cell_length_a 19.420
_cell_length_b 4.858
_cell_length_c 12.105
_cell_angle_alpha 90.00
_cell_angle_beta 105.60
_cell_angle_gamma 90.00
_space_group_name_H-M_alt 'C 1 2/m 1'
_space_group_IT_number 12
loop_
_space_group_symop_operation_xyz
'x,y,z'
'-x,-y,-z'
'-x,y,-z'
'x,-y,z'
'x+1/2,y+1/2,z'
'-x+1/2,-y+1/2,-z'
'-x+1/2,y+1/2,-z'
'x+1/2,-y+1/2,z'
loop_
_atom_site_label
_atom_site_fract_x
_atom_site_fract_y
_atom_site_fract_z
_atom_site_occupancy
Rb1 0.000 0.000 0.000 1
Rb2 0.161 0.000 0.705 1
Pb1 0.000 0.500 0.500 1
Pb2 0.036 0.000 0.341 1
Pb3 0.118 0.500 0.201 1
Pb4 0.178 0.500 0.970 1
Pb5 0.211 0.000 0.381 1
Au1 0.040 0.500 0.795 1
Au2 0.145 0.500 0.459 1
Au3 0.197 0.000 0.124 1
```

formation energy: -0.9 eV/f.u.
volume: 1100.0 Å³/cell

=====

# 5
VASP calculation (PBE-GGA) on RbPb2Au2 after structural relaxation.

Structure (CIF):
```
data_RbPb2Au2
_cell_length_a 9.127
_cell_length_b 9.127
_cell_length_c 3.376
_cell_angle_alpha 90.00
_cell_angle_beta 90.00
_cell_angle_gamma 90.00
_space_group_name_H-M_alt 'P 4/m b m'
_space_group_IT_number 127
_space_group_name_Hall '-P 4 2ab'
loop_
_atom_site_label
_atom_site_fract_x
_atom_site_fract_y
_atom_site_fract_z
_atom_site_occupancy
Rb1 0.000 0.000 0.000 1
Pb1 0.140 0.360 0.500 1
Au1 0.149 0.649 0.000 1
```

formation energy: -0.4 eV/f.u.
volume: 281.2 Å³/cell

=====

# 6
VASP calculation (PBE-GGA) on RbPb4Au3 after structural relaxation.

Structure (CIF):
```
data_RbPb4Au3
_cell_length_a 5.023
_cell_length_b 5.023
_cell_length_c 9.487
_cell_angle_alpha 90.00
_cell_angle_beta 90.00
_cell_angle_gamma 90.00
_space_group_name_H-M_alt 'P 4/m m m'
_space_group_IT_number 123
_space_group_name_Hall '-P 4 2'
loop_
_atom_site_label
_atom_site_fract_x
_atom_site_fract_y
_atom_site_fract_z
_atom_site_occupancy
Rb1 0.000 0.000 0.000 1
Pb1 0.000 0.500 0.322 1
Au1 0.000 0.000 0.500 1
Au2 0.500 0.500 0.145 1
```

formation energy: -1.2 eV/f.u.
volume: 239.4 Å³/cell

=====

# 7
VASP calculation (PBE-GGA) on Rb2PbAu after structural relaxation.

Structure (CIF):
```
data_Rb2PbAu
_cell_length_a 3.851
_cell_length_b 3.851
_cell_length_c 10.351
_cell_angle_alpha 90.00
_cell_angle_beta 90.00
_cell_angle_gamma 90.00
_space_group_name_H-M_alt 'P 4/m m m'
_space_group_IT_number 123
_space_group_name_Hall '-P 4 2'
loop_
_atom_site_label
_atom_site_fract_x
_atom_site_fract_y
_atom_site_fract_z
_atom_site_occupancy
Rb1 0.000 0.000 0.213 1
Pb1 0.500 0.500 0.500 1
Au1 0.500 0.500 0.000 1
```

formation energy: -0.4 eV/f.u.
volume: 153.5 Å³/cell

=====

# 8
VASP calculation (PBE-GGA) on Rb3PbAu after structural relaxation.

Structure (CIF):
```
data_Rb3PbAu
_cell_length_a 13.035
_cell_length_b 10.907
_cell_length_c 8.876
_cell_angle_alpha 90.00
_cell_angle_beta 129.75
_cell_angle_gamma 90.00
_space_group_name_H-M_alt 'C 1 2/m 1'
_space_group_IT_number 12
loop_
_space_group_symop_operation_xyz
'x,y,z'
'-x,-y,-z'
'-x,y,-z'
'x,-y,z'
'x+1/2,y+1/2,z'
'-x+1/2,-y+1/2,-z'
'-x+1/2,y+1/2,-z'
'x+1/2,-y+1/2,z'
loop_
_atom_site_label
_atom_site_fract_x
_atom_site_fract_y
_atom_site_fract_z
_atom_site_occupancy
Rb1 0.056 0.000 0.335 1
Rb2 0.217 0.302 0.755 1
Pb1 0.063 0.500 0.245 1
Au1 0.213 0.500 0.103 1
```

formation energy: -0.5 eV/f.u.
volume: 970.1 Å³/cell

=====

# 9
VASP calculation (PBE-GGA) on Rb2PbAu after structural relaxation.

Structure (CIF):
```
data_Rb2PbAu
_cell_length_a 11.566
_cell_length_b 7.852
_cell_length_c 7.428
_cell_angle_alpha 90.00
_cell_angle_beta 90.00
_cell_angle_gamma 90.00
_space_group_name_H-M_alt 'C m c m'
_space_group_IT_number 63
_space_group_name_Hall '-C 2c 2'
loop_
_atom_site_label
_atom_site_fract_x
_atom_site_fract_y
_atom_site_fract_z
_atom_site_occupancy
Rb1 0.167 0.198 0.250 1
Pb1 0.000 0.234 0.750 1
Au1 0.000 0.500 0.000 1
```

formation energy: -0.7 eV/f.u.
volume: 674.6 Å³/cell

=====

# 10
VASP calculation (PBE-GGA) on RbPb4Au5 after structural relaxation.

Structure (CIF):
```
data_RbPb4Au5
_cell_length_a 8.145
_cell_length_b 12.856
_cell_length_c 5.368
_cell_angle_alpha 90.00
_cell_angle_beta 90.00
_cell_angle_gamma 90.00
_space_group_name_H-M_alt 'P m m n'
_space_group_IT_number 59
loop_
_space_group_symop_operation_xyz
'x,y,z'
'-x,-y,-z'
'-x+1/2,-y+1/2,z'
'x+1/2,y+1/2,-z'
'x+1/2,-y,-z'
'-x+1/2,y,z'
'-x,y+1/2,-z'
'x,-y+1/2,z'
loop_
_atom_site_label
_atom_site_fract_x
_atom_site_fract_y
_atom_site_fract_z
_atom_site_occupancy
Rb1 0.250 0.250 0.045 1
Pb1 0.051 0.750 0.478 1
Pb2 0.250 0.508 0.658 1
Au1 0.073 0.572 0.155 1
Au2 0.250 0.750 0.940 1
```

formation energy: -0.8 eV/f.u.
volume: 562.2 Å³/cell

=====

# 11
VASP calculation (PBE-GGA) on Rb2Pb5Au4 after structural relaxation.

Structure (CIF):
```
data_Rb2Pb5Au4
_cell_length_a 12.866
_cell_length_b 7.097
_cell_length_c 9.568
_cell_angle_alpha 90.00
_cell_angle_beta 128.89
_cell_angle_gamma 90.00
_space_group_name_H-M_alt 'C 1 2/m 1'
_space_group_IT_number 12
loop_
_space_group_symop_operation_xyz
'x,y,z'
'-x,-y,-z'
'-x,y,-z'
'x,-y,z'
'x+1/2,y+1/2,z'
'-x+1/2,-y+1/2,-z'
'-x+1/2,y+1/2,-z'
'x+1/2,-y+1/2,z'
loop_
_atom_site_label
_atom_site_fract_x
_atom_site_fract_y
_atom_site_fract_z
_atom_site_occupancy
Rb1 0.200 0.000 0.166 1
Pb1 0.000 0.500 0.000 1
Pb2 0.025 0.249 0.349 1
Au1 0.211 0.000 0.824 1
Au2 0.247 0.500 0.432 1
```

formation energy: -1.1 eV/f.u.
volume: 680.0 Å³/cell

=====

# 12
VASP calculation (PBE-GGA) on Rb8PbAu2 after structural relaxation.

Structure (CIF):
```
data_Rb8PbAu2
_cell_length_a 10.925
_cell_length_b 15.932
_cell_length_c 6.942
_cell_angle_alpha 90.00
_cell_angle_beta 103.46
_cell_angle_gamma 90.00
_space_group_name_H-M_alt 'C 1 2/m 1'
_space_group_IT_number 12
loop_
_space_group_symop_operation_xyz
'x,y,z'
'-x,-y,-z'
'-x,y,-z'
'x,-y,z'
'x+1/2,y+1/2,z'
'-x+1/2,-y+1/2,-z'
'-x+1/2,y+1/2,-z'
'x+1/2,-y+1/2,z'
loop_
_atom_site_label
_atom_site_fract_x
_atom_site_fract_y
_atom_site_fract_z
_atom_site_occupancy
Rb1 0.000 0.241 0.000 1
Rb2 0.137 0.500 0.804 1
Rb3 0.186 0.129 0.584 1
Pb1 0.000 0.000 0.000 1
Au1 0.000 0.319 0.500 1
```

formation energy: -1.3 eV/f.u.
volume: 1175.1 Å³/cell

=====

Question: Look up the formation energy of the seventh one.
Answer: -0.4 eV/f.u.

=====

Question: Which formula does entry 2 have?
Answer: RbPb2Au2

=====

Question: Which formula does entry 2 have?
Answer: RbPb2Au2